Entry from Alexandria: an optimized crystal structure of SrMoAsO2 (GGA+U).

The value obtained for the total energy is -0.3094 Ry per atom. The total magnetization is 5.18 μB per formula unit.

It has space group P4/mmm (No. 123), with a = 4.325 Å, b = 4.325 Å, c = 5.600 Å, α = 90.00°, β = 90.00° and γ = 90.00°. The inequivalent atoms are Sr at (0.000, 0.000, 0.000), Mo at (0.500, 0.500, 0.000), As at (0.000, 0.000, 0.500) and O at (0.000, 0.500, 0.500).